This record from Alexandria via LeMat-Bulk describes crystalline HoTmThTl at its relaxed geometry. The functional is GGA-PBE.

Output
density = 11.2 g/cm3
DFT formation energy = 0.09 eV per atom
N(E_F) = 7.5 states/eV/cell
total moment = 0.240 μB/atom
space group = F-43m

Lattice parameters (Å, degrees): 5.452 5.452 5.452 60.00 60.00 60.00
Sites, in units of the cell vectors:
Ho 0.000 0.000 0.000
Tm 0.500 0.500 0.500
Th 0.250 0.250 0.250
Tl 0.750 0.750 0.750


This record from Alexandria via LeMat-Bulk describes crystalline YHoThTl at its relaxed geometry. The functional is GGA-PBE.

Output
density = 9.8 g/cm3
DFT formation energy = 0.07 eV per atom
N(E_F) = 7.5 states/eV/cell
total moment = 0.239 μB/atom
space group = F-43m

Lattice parameters (Å, degrees): 5.483 5.483 5.483 60.00 60.00 60.00
Sites, in units of the cell vectors:
Y 0.000 0.000 0.000
Ho 0.500 0.500 0.500
Th 0.750 0.750 0.750
Tl 0.250 0.250 0.250


This record from Alexandria via LeMat-Bulk describes crystalline Ho2ThTl2Zn2 at its relaxed geometry. The functional is GGA-PBE.

Output
density = 10.2 g/cm3
DFT formation energy = -0.07 eV per atom
N(E_F) = 5.7 states/eV/cell
total moment = 0.000 μB/atom
space group = R-3m

Lattice parameters (Å, degrees): 9.357 9.357 9.357 29.77 29.77 29.77
Sites, in units of the cell vectors:
Ho 0.130 0.130 0.130
Ho 0.870 0.870 0.870
Th 0.000 0.000 0.000
Tl 0.265 0.265 0.265
Tl 0.735 0.735 0.735
Zn 0.420 0.420 0.420
Zn 0.580 0.580 0.580


This record from Alexandria via LeMat-Bulk describes crystalline Ho2Tm8Th3 at its relaxed geometry. The functional is GGA-PBE.

Output
density = 9.3 g/cm3
DFT formation energy = 0.28 eV per atom
N(E_F) = 22.0 states/eV/cell
energy above the lowest structure with this stoichiometry = 0 meV per atom
total moment = 0.000 μB/atom
space group = Cmmm

Lattice parameters (Å, degrees): 10.598 10.598 5.496 90.00 90.00 136.72
Sites, in units of the cell vectors:
Ho 0.238 0.762 0.000
Ho 0.762 0.238 0.000
Tm 0.129 0.871 0.500
Tm 0.189 0.405 0.000
Tm 0.330 0.670 0.500
Tm 0.405 0.189 0.000
Tm 0.595 0.811 0.000
Tm 0.670 0.330 0.500
Tm 0.811 0.595 0.000
Tm 0.871 0.129 0.500
Th 0.000 0.000 0.000
Th 0.297 0.297 0.500
Th 0.703 0.703 0.500


This record from Alexandria via LeMat-Bulk describes crystalline Ho2Tm2Th15 at its relaxed geometry. The functional is GGA-PBE.

Output
density = 10.7 g/cm3
DFT formation energy = 0.30 eV per atom
N(E_F) = 37.3 states/eV/cell
total moment = 0.000 μB/atom
space group = R-3m

Lattice parameters (Å, degrees): 8.744 8.744 8.744 81.01 81.01 81.01
Sites, in units of the cell vectors:
Ho 0.189 0.189 0.189
Ho 0.811 0.811 0.811
Tm 0.403 0.403 0.403
Tm 0.597 0.597 0.597
Th 0.000 0.500 0.500
Th 0.141 0.141 0.654
Th 0.141 0.654 0.141
Th 0.200 0.500 0.800
Th 0.200 0.800 0.500
Th 0.346 0.859 0.859
Th 0.500 0.000 0.500
Th 0.500 0.200 0.800
Th 0.500 0.500 0.000
Th 0.500 0.800 0.200
Th 0.654 0.141 0.141
Th 0.800 0.200 0.500
Th 0.800 0.500 0.200
Th 0.859 0.346 0.859
Th 0.859 0.859 0.346


This record from Alexandria via LeMat-Bulk describes crystalline Ho6TmTh2 at its relaxed geometry. The functional is GGA-PBE.

Output
density = 9.5 g/cm3
DFT formation energy = 0.07 eV per atom
N(E_F) = 18.4 states/eV/cell
energy above the lowest structure with this stoichiometry = 41 meV per atom
total moment = 0.006 μB/atom
space group = P-6m2

Lattice parameters (Å, degrees): 3.548 3.548 26.111 90.00 90.00 120.00
Sites, in units of the cell vectors:
Ho 0.000 0.000 0.064
Ho 0.000 0.000 0.285
Ho 0.000 0.000 0.715
Ho 0.000 0.000 0.936
Ho 0.333 0.667 0.393
Ho 0.333 0.667 0.607
Tm 0.000 0.000 0.500
Th 0.333 0.667 0.172
Th 0.333 0.667 0.828


This record from Alexandria via LeMat-Bulk describes crystalline HoTm4Th3 at its relaxed geometry. The functional is GGA-PBE.

Output
density = 10.1 g/cm3
DFT formation energy = 0.04 eV per atom
N(E_F) = 24.5 states/eV/cell
energy above the lowest structure with this stoichiometry = 16 meV per atom
total moment = 0.000 μB/atom
space group = Pmn2_1

Lattice parameters (Å, degrees): 11.458 7.100 6.189 90.00 90.00 90.00
Sites, in units of the cell vectors:
Ho 0.000 0.126 0.000
Ho 0.500 0.874 0.500
Tm 0.000 0.375 0.492
Tm 0.000 0.631 0.993
Tm 0.249 0.374 0.833
Tm 0.251 0.626 0.333
Tm 0.500 0.369 0.493
Tm 0.500 0.625 0.992
Tm 0.749 0.626 0.333
Tm 0.751 0.374 0.833
Th 0.000 0.875 0.498
Th 0.250 0.117 0.325
Th 0.250 0.883 0.825
Th 0.500 0.125 0.998
Th 0.750 0.117 0.325
Th 0.750 0.883 0.825


This record from Alexandria via LeMat-Bulk describes crystalline Ho7TmTh3 at its relaxed geometry. The functional is GGA-PBE.

Output
density = 9.2 g/cm3
DFT formation energy = 0.21 eV per atom
N(E_F) = 15.3 states/eV/cell
energy above the lowest structure with this stoichiometry = 58 meV per atom
total moment = 0.000 μB/atom
space group = P3m1

Lattice parameters (Å, degrees): 7.040 7.040 8.485 90.00 90.00 120.00
Sites, in units of the cell vectors:
Ho 0.000 0.000 0.000
Ho 0.166 0.331 0.660
Ho 0.166 0.834 0.660
Ho 0.501 0.003 0.996
Ho 0.501 0.499 0.996
Ho 0.669 0.834 0.660
Ho 0.997 0.499 0.996
Tm 0.667 0.333 0.658
Th 0.334 0.167 0.329
Th 0.833 0.167 0.329
Th 0.833 0.666 0.329


This record from Alexandria via LeMat-Bulk describes crystalline Ho7TmTh4 at its relaxed geometry. The functional is GGA-PBE.

Output
density = 9.9 g/cm3
DFT formation energy = 0.15 eV per atom
N(E_F) = 21.8 states/eV/cell
total moment = 0.000 μB/atom
space group = P-3m1

Lattice parameters (Å, degrees): 5.618 5.618 13.872 90.00 90.00 120.00
Sites, in units of the cell vectors:
Ho 0.000 0.000 0.000
Ho 0.000 0.000 0.241
Ho 0.000 0.000 0.759
Ho 0.333 0.667 0.181
Ho 0.333 0.667 0.426
Ho 0.667 0.333 0.574
Ho 0.667 0.333 0.819
Tm 0.000 0.000 0.500
Th 0.333 0.667 0.675
Th 0.333 0.667 0.920
Th 0.667 0.333 0.080
Th 0.667 0.333 0.325


This record from Alexandria via LeMat-Bulk describes crystalline HoTm8Th4 at its relaxed geometry. The functional is GGA-PBE.

Output
density = 10.0 g/cm3
DFT formation energy = 0.23 eV per atom
N(E_F) = 14.2 states/eV/cell
total moment = 0.000 μB/atom
space group = R-3m

Lattice parameters (Å, degrees): 9.739 9.739 9.739 44.20 44.20 44.20
Sites, in units of the cell vectors:
Ho 0.000 0.000 0.000
Tm 0.251 0.251 0.690
Tm 0.251 0.690 0.251
Tm 0.280 0.280 0.280
Tm 0.310 0.749 0.749
Tm 0.690 0.251 0.251
Tm 0.720 0.720 0.720
Tm 0.749 0.310 0.749
Tm 0.749 0.749 0.310
Th 0.000 0.000 0.500
Th 0.000 0.500 0.000
Th 0.500 0.000 0.000
Th 0.500 0.500 0.500


This record from Alexandria via LeMat-Bulk describes crystalline Ho2Tm2Th at its relaxed geometry. The functional is GGA-PBE.

Output
density = 9.7 g/cm3
DFT formation energy = 0.05 eV per atom
N(E_F) = 6.3 states/eV/cell
energy above the lowest structure with this stoichiometry = 0 meV per atom
total moment = 0.000 μB/atom
space group = Cmmm

Lattice parameters (Å, degrees): 8.752 8.752 3.476 90.00 90.00 144.64
Sites, in units of the cell vectors:
Ho 0.199 0.801 0.000
Ho 0.801 0.199 0.000
Tm 0.393 0.607 0.500
Tm 0.607 0.393 0.500
Th 0.000 0.000 0.000


This record from Alexandria via LeMat-Bulk describes crystalline Ho6TmTh2 at its relaxed geometry. The functional is GGA-PBE.

Output
density = 9.6 g/cm3
DFT formation energy = 0.03 eV per atom
N(E_F) = 13.8 states/eV/cell
energy above the lowest structure with this stoichiometry = 0 meV per atom
total moment = 0.000 μB/atom
space group = Fmmm

Lattice parameters (Å, degrees): 10.590 7.904 7.894 84.19 47.95 47.86
Sites, in units of the cell vectors:
Ho 0.003 0.330 0.670
Ho 0.330 0.003 0.997
Ho 0.334 0.666 0.334
Ho 0.666 0.334 0.666
Ho 0.670 0.997 0.003
Ho 0.997 0.670 0.330
Tm 0.000 0.000 0.000
Th 0.332 0.332 0.668
Th 0.668 0.668 0.332


This record from Alexandria via LeMat-Bulk describes crystalline Ho5Tm3Th3 at its relaxed geometry. The functional is GGA-PBE.

Output
density = 9.3 g/cm3
DFT formation energy = 0.40 eV per atom
N(E_F) = 21.6 states/eV/cell
energy above the lowest structure with this stoichiometry = 13 meV per atom
total moment = 0.000 μB/atom
space group = P-62m

Lattice parameters (Å, degrees): 11.097 11.097 3.412 90.00 90.00 120.00
Sites, in units of the cell vectors:
Ho 0.000 0.660 0.000
Ho 0.333 0.667 0.000
Ho 0.340 0.340 0.000
Ho 0.660 0.000 0.000
Ho 0.667 0.333 0.000
Tm 0.000 0.160 0.000
Tm 0.160 0.000 0.000
Tm 0.840 0.840 0.000
Th 0.000 0.405 0.500
Th 0.405 0.000 0.500
Th 0.595 0.595 0.500


This record from Alexandria via LeMat-Bulk describes crystalline Ho3Tm2Th3 at its relaxed geometry. The functional is GGA-PBE.

Output
density = 10.1 g/cm3
DFT formation energy = 0.04 eV per atom
N(E_F) = 10.4 states/eV/cell
energy above the lowest structure with this stoichiometry = 4 meV per atom
total moment = 0.000 μB/atom
space group = Immm

Lattice parameters (Å, degrees): 10.637 10.637 10.637 152.86 152.75 38.84
Sites, in units of the cell vectors:
Ho 0.000 0.000 0.000
Ho 0.125 0.625 0.500
Ho 0.875 0.375 0.500
Tm 0.250 0.250 0.000
Tm 0.750 0.750 0.000
Th 0.375 0.875 0.500
Th 0.500 0.500 0.000
Th 0.625 0.125 0.500


This record from Alexandria via LeMat-Bulk describes crystalline Ho8Tm2Th3 at its relaxed geometry. The functional is GGA-PBE.

Output
density = 8.9 g/cm3
DFT formation energy = 0.29 eV per atom
N(E_F) = 20.3 states/eV/cell
energy above the lowest structure with this stoichiometry = 15 meV per atom
total moment = 0.000 μB/atom
space group = C2/m

Lattice parameters (Å, degrees): 8.693 8.693 6.573 98.03 98.03 64.12
Sites, in units of the cell vectors:
Ho 0.065 0.709 0.066
Ho 0.083 0.083 0.374
Ho 0.291 0.935 0.934
Ho 0.304 0.304 0.217
Ho 0.696 0.696 0.783
Ho 0.709 0.065 0.066
Ho 0.917 0.917 0.626
Ho 0.935 0.291 0.934
Tm 0.287 0.287 0.712
Tm 0.713 0.713 0.288
Th 0.331 0.669 0.500
Th 0.500 0.500 0.000
Th 0.669 0.331 0.500


This record from Alexandria via LeMat-Bulk describes crystalline Ho2Tm9Th at its relaxed geometry. The functional is GGA-PBE.

Output
density = 9.5 g/cm3
DFT formation energy = 0.03 eV per atom
N(E_F) = 17.8 states/eV/cell
total moment = 0.000 μB/atom
space group = P4/mmm

Lattice parameters (Å, degrees): 4.958 4.958 14.847 90.00 90.00 90.00
Sites, in units of the cell vectors:
Ho 0.000 0.000 0.167
Ho 0.000 0.000 0.833
Tm 0.000 0.500 0.000
Tm 0.000 0.500 0.334
Tm 0.000 0.500 0.666
Tm 0.500 0.000 0.000
Tm 0.500 0.000 0.334
Tm 0.500 0.000 0.666
Tm 0.500 0.500 0.165
Tm 0.500 0.500 0.500
Tm 0.500 0.500 0.835
Th 0.000 0.000 0.500


This record from Alexandria via LeMat-Bulk describes crystalline HoTmTh4 at its relaxed geometry. The functional is GGA-PBE.

Output
density = 10.8 g/cm3
DFT formation energy = 0.08 eV per atom
N(E_F) = 8.0 states/eV/cell
energy above the lowest structure with this stoichiometry = 3 meV per atom
total moment = 0.000 μB/atom
space group = Immm

Lattice parameters (Å, degrees): 6.662 6.662 6.662 129.49 116.97 84.87
Sites, in units of the cell vectors:
Ho 0.000 0.000 0.000
Tm 0.500 0.000 0.500
Th 0.084 0.333 0.750
Th 0.417 0.667 0.750
Th 0.583 0.333 0.250
Th 0.916 0.667 0.250


This record from Alexandria via LeMat-Bulk describes crystalline Ho7Tm2Th2 at its relaxed geometry. The functional is GGA-PBE.

Output
density = 9.3 g/cm3
DFT formation energy = 0.18 eV per atom
N(E_F) = 16.9 states/eV/cell
energy above the lowest structure with this stoichiometry = 0 meV per atom
total moment = 0.000 μB/atom
space group = C2/m

Lattice parameters (Å, degrees): 7.920 7.920 6.070 106.03 106.03 91.50
Sites, in units of the cell vectors:
Ho 0.000 0.000 0.000
Ho 0.063 0.588 0.826
Ho 0.234 0.234 0.581
Ho 0.412 0.937 0.174
Ho 0.588 0.063 0.826
Ho 0.766 0.766 0.419
Ho 0.937 0.412 0.174
Tm 0.217 0.783 0.500
Tm 0.783 0.217 0.500
Th 0.419 0.419 0.194
Th 0.581 0.581 0.806


This record from Alexandria via LeMat-Bulk describes crystalline Ho8Tm2Th3 at its relaxed geometry. The functional is GGA-PBE.

Output
density = 9.1 g/cm3
DFT formation energy = 0.27 eV per atom
N(E_F) = 21.2 states/eV/cell
energy above the lowest structure with this stoichiometry = 0 meV per atom
total moment = 0.000 μB/atom
space group = C2/m

Lattice parameters (Å, degrees): 10.608 10.608 5.542 90.08 90.08 43.39
Sites, in units of the cell vectors:
Ho 0.096 0.687 0.999
Ho 0.171 0.171 0.502
Ho 0.313 0.904 0.001
Ho 0.370 0.370 0.501
Ho 0.630 0.630 0.499
Ho 0.687 0.096 0.999
Ho 0.829 0.829 0.498
Ho 0.904 0.313 0.001
Tm 0.261 0.261 0.002
Tm 0.739 0.739 0.998
Th 0.204 0.796 0.500
Th 0.500 0.500 0.000
Th 0.796 0.204 0.500


This record from Alexandria via LeMat-Bulk describes crystalline Ho6Tm8Th at its relaxed geometry. The functional is GGA-PBE.

Output
density = 9.1 g/cm3
DFT formation energy = 0.13 eV per atom
N(E_F) = 22.8 states/eV/cell
total moment = 0.000 μB/atom
space group = R-3

Lattice parameters (Å, degrees): 8.523 8.523 8.523 63.13 63.13 63.13
Sites, in units of the cell vectors:
Ho 0.037 0.729 0.607
Ho 0.271 0.393 0.963
Ho 0.393 0.963 0.271
Ho 0.607 0.037 0.729
Ho 0.729 0.607 0.037
Ho 0.963 0.271 0.393
Tm 0.077 0.077 0.077
Tm 0.219 0.250 0.612
Tm 0.250 0.612 0.219
Tm 0.388 0.781 0.750
Tm 0.612 0.219 0.250
Tm 0.750 0.388 0.781
Tm 0.781 0.750 0.388
Tm 0.923 0.923 0.923
Th 0.500 0.500 0.500


This record from Alexandria via LeMat-Bulk describes crystalline Ho3TmTh3 at its relaxed geometry. The functional is GGA-PBE.

Output
density = 10.1 g/cm3
DFT formation energy = 0.04 eV per atom
N(E_F) = 19.2 states/eV/cell
energy above the lowest structure with this stoichiometry = 0 meV per atom
total moment = 0.000 μB/atom
space group = P6_3/m

Lattice parameters (Å, degrees): 9.414 9.414 5.810 90.00 90.00 120.00
Sites, in units of the cell vectors:
Ho 0.092 0.620 0.250
Ho 0.380 0.471 0.250
Ho 0.471 0.092 0.750
Ho 0.529 0.908 0.250
Ho 0.620 0.529 0.750
Ho 0.908 0.380 0.750
Tm 0.333 0.667 0.750
Tm 0.667 0.333 0.250
Th 0.048 0.813 0.750
Th 0.187 0.236 0.750
Th 0.236 0.048 0.250
Th 0.764 0.952 0.750
Th 0.813 0.764 0.250
Th 0.952 0.187 0.250